1.
RbPO3 | PBEsol | optimized geometry

Geometry as POSCAR:
```
RbPO3
1.0
2.975 -6.551 0.000
2.975 6.551 0.000
0.000 0.000 4.819
Rb P O
2 2 6
direct
0.158 0.842 0.750
0.842 0.158 0.250
0.421 0.579 0.750
0.579 0.421 0.250
0.146 0.421 0.750
0.421 0.146 0.250
0.500 0.500 0.000
0.500 0.500 0.500
0.579 0.854 0.750
0.854 0.579 0.250
```

Summary:
DOS(E_F), states/eV per cell: 0.0
Formation energy without anion corrections, eV per atom: -2.22
DFT total energy, eV per formula unit: -33.7

2.
Cs2SnGe3O9 | PBEsol | optimized geometry

Geometry as POSCAR:
```
Cs2SnGe3O9
1.0
7.296 0.000 0.000
-3.648 6.318 0.000
0.000 0.000 10.512
Cs Sn Ge O
4 2 6 18
direct
0.333 0.667 0.058
0.333 0.667 0.442
0.667 0.333 0.558
0.667 0.333 0.942
0.000 0.000 0.000
0.000 0.000 0.500
0.139 0.765 0.750
0.235 0.374 0.750
0.374 0.139 0.250
0.626 0.861 0.750
0.765 0.626 0.250
0.861 0.235 0.250
0.026 0.779 0.608
0.026 0.779 0.892
0.073 0.491 0.750
0.221 0.247 0.608
0.221 0.247 0.892
0.247 0.026 0.108
0.247 0.026 0.392
0.419 0.927 0.750
0.491 0.419 0.250
0.509 0.581 0.750
0.581 0.073 0.250
0.753 0.974 0.608
0.753 0.974 0.892
0.779 0.753 0.108
0.779 0.753 0.392
0.927 0.509 0.250
0.974 0.221 0.108
0.974 0.221 0.392
```

Summary:
DOS(E_F), states/eV per cell: 0.0
Formation energy without anion corrections, eV per atom: -1.79
DFT total energy, eV per formula unit: -95.0

3.
Be2HPbN | PBEsol | optimized geometry

Geometry as POSCAR:
```
Be2HPbN
1.0
4.676 0.000 0.000
0.000 4.676 0.000
0.000 0.000 4.607
Be H Pb N
2 1 1 1
direct
0.000 0.500 0.000
0.500 0.000 0.000
0.000 0.000 0.500
0.500 0.500 0.000
0.500 0.500 0.500
```

Summary:
DOS(E_F), states/eV per cell: 1.5
DFT total energy, eV per formula unit: -13.6